1.
B5C7 | PBE | optimized geometry Values from VASP.

Structure (Quantum ESPRESSO input):
```
&SYSTEM
  ibrav = 0, nat = 12, ntyp = 2
/
ATOMIC_SPECIES
B 10.81 B.upf
C 12.01 C.upf
ATOMIC_POSITIONS crystal
B 0.500 0.500 0.849
B 0.500 0.000 0.956
B 0.500 0.500 0.476
B 0.000 0.000 0.639
B 0.000 0.500 0.746
C 0.500 0.000 0.560
C 0.500 0.500 0.177
C 0.500 0.000 0.247
C 0.000 0.000 0.321
C 0.000 0.500 0.389
C 0.000 0.000 0.035
C 0.000 0.500 0.105
CELL_PARAMETERS angstrom
-1.082 -1.643 -1.568
2.050 -0.050 -1.362
4.406 -9.574 6.988
```

## Properties
Magnetization, μB/atom: 0.000
V, Å³/f.u.: 78.3



2.
B5C7 | PBE | optimized geometry Values from VASP.

Structure (Quantum ESPRESSO input):
```
&SYSTEM
  ibrav = 0, nat = 12, ntyp = 2
/
ATOMIC_SPECIES
B 10.81 B.upf
C 12.01 C.upf
ATOMIC_POSITIONS crystal
B 0.017 0.017 0.975
B 0.896 0.896 0.206
B 0.994 0.994 0.508
B 0.599 0.599 0.545
B 0.328 0.328 0.671
C 0.320 0.320 0.158
C 0.245 0.245 0.365
C 0.913 0.913 0.729
C 0.674 0.674 0.326
C 0.243 0.243 0.880
C 0.674 0.674 0.843
C 0.596 0.596 0.044
CELL_PARAMETERS angstrom
-3.376 -5.240 -1.742
-1.408 -5.362 -3.340
2.897 -1.802 3.706
```

## Properties
Magnetization, μB/atom: 0.000
V, Å³/f.u.: 79.3



1 is the most stable structure; the next one sits 3.8 kJ/mol of atoms above it.



1.
Hg2BCl | PBE | optimized geometry Values from VASP.

Structure (Quantum ESPRESSO input):
```
&SYSTEM
  ibrav = 0, nat = 4, ntyp = 3
/
ATOMIC_SPECIES
B 10.81 B.upf
Hg 200.59 Hg.upf
Cl 35.45 Cl.upf
ATOMIC_POSITIONS crystal
B 0.500 0.500 0.500
Hg 0.000 0.000 0.000
Hg 0.750 0.750 0.750
Cl 0.250 0.250 0.250
CELL_PARAMETERS angstrom
5.047 0.000 0.000
2.523 4.371 0.000
2.523 1.457 4.121
```

## Properties
Magnetization, μB/atom: 0.000
V, Å³/f.u.: 90.9



2.
Hg2BCl | PBE | optimized geometry Values from VASP.

Structure (Quantum ESPRESSO input):
```
&SYSTEM
  ibrav = 0, nat = 8, ntyp = 3
/
ATOMIC_SPECIES
B 10.81 B.upf
Hg 200.59 Hg.upf
Cl 35.45 Cl.upf
ATOMIC_POSITIONS crystal
B 0.500 0.500 0.000
B 0.250 0.750 0.500
Hg 0.527 0.125 0.250
Hg 0.223 0.625 0.250
Hg 0.375 0.473 0.750
Hg 0.875 0.777 0.750
Cl 0.000 0.000 0.000
Cl 0.750 0.250 0.500
CELL_PARAMETERS angstrom
6.193 0.000 0.000
0.000 6.193 0.000
3.097 3.097 5.260
```

## Properties
Magnetization, μB/atom: 0.000
V, Å³/f.u.: 100.9



2 is the most stable structure; the next one sits 57.9 kJ/mol of atoms above it.